This record from the Alexandria database describes V2Se3O11 after structural relaxation. The functional is PBE+U.

```
data_V2Se3O11
_cell_length_a 6.420
_cell_length_b 9.519
_cell_length_c 15.428
_cell_angle_alpha 93.06
_cell_angle_beta 90.00
_cell_angle_gamma 90.00
_symmetry_space_group_name_H-M 'P 1'
_symmetry_Int_Tables_number 1
_symmetry_space_group_name_Hall 'P 1'
loop_
_atom_site_label
_atom_site_type_symbol
_atom_site_fract_x
_atom_site_fract_y
_atom_site_fract_z
O1 O 0.275 0.385 0.086
O2 O 0.666 0.568 0.448
O3 O 0.965 0.193 0.111
O4 O 0.518 0.859 0.963
O5 O 0.334 0.432 0.552
O6 O 0.678 0.780 0.313
O7 O 0.982 0.359 0.963
O8 O 0.775 0.800 0.722
O9 O 0.178 0.720 0.687
O10 O 0.394 0.497 0.722
O11 O 0.606 0.503 0.278
O12 O 0.176 0.111 0.921
O13 O 0.028 0.538 0.803
O14 O 0.225 0.885 0.086
O15 O 0.482 0.141 0.037
O16 O 0.824 0.889 0.079
O17 O 0.676 0.389 0.079
O18 O 0.232 0.006 0.388
O19 O 0.324 0.611 0.921
O20 O 0.106 0.997 0.722
O21 O 0.894 0.003 0.278
O22 O 0.322 0.220 0.687
O23 O 0.225 0.200 0.278
O24 O 0.268 0.506 0.388
O25 O 0.834 0.068 0.448
O26 O 0.386 0.774 0.442
O27 O 0.018 0.641 0.037
O28 O 0.725 0.300 0.722
O29 O 0.775 0.115 0.914
O30 O 0.114 0.274 0.442
O31 O 0.535 0.693 0.111
O32 O 0.472 0.038 0.803
O33 O 0.035 0.807 0.889
O34 O 0.725 0.615 0.914
O35 O 0.528 0.962 0.197
O36 O 0.275 0.700 0.278
O37 O 0.166 0.932 0.552
O38 O 0.886 0.726 0.558
O39 O 0.822 0.280 0.313
O40 O 0.732 0.494 0.612
O41 O 0.768 0.994 0.612
O42 O 0.465 0.307 0.889
O43 O 0.614 0.226 0.558
O44 O 0.972 0.462 0.197
Se1 Se 0.981 0.218 0.884
Se2 Se 0.855 0.135 0.552
Se3 Se 0.519 0.718 0.884
Se4 Se 0.481 0.282 0.116
Se5 Se 0.355 0.365 0.448
Se6 Se 0.145 0.865 0.448
Se7 Se 0.636 0.959 0.301
Se8 Se 0.019 0.782 0.116
Se9 Se 0.364 0.041 0.699
Se10 Se 0.136 0.541 0.699
Se11 Se 0.645 0.635 0.552
Se12 Se 0.864 0.459 0.301
V1 V 0.549 0.352 0.656
V2 V 0.027 0.645 0.912
V3 V 0.973 0.355 0.088
V4 V 0.951 0.852 0.656
V5 V 0.049 0.148 0.344
V6 V 0.451 0.648 0.344
V7 V 0.527 0.855 0.088
V8 V 0.473 0.145 0.912
```

Output
The total magnetization is 0.0 μB/cell. Its total energy is -395.33 eV for the cell shown.

---

This record from the Alexandria database describes VSeO4 after structural relaxation. The functional is PBE+U.

```
data_VSeO4
_cell_length_a 5.471
_cell_length_b 5.471
_cell_length_c 6.001
_cell_angle_alpha 92.11
_cell_angle_beta 92.11
_cell_angle_gamma 57.12
_symmetry_space_group_name_H-M 'P 1'
_symmetry_Int_Tables_number 1
_symmetry_space_group_name_Hall 'P 1'
loop_
_atom_site_label
_atom_site_type_symbol
_atom_site_fract_x
_atom_site_fract_y
_atom_site_fract_z
V1 V 0.000 0.500 0.000
V2 V 0.500 0.000 0.500
O1 O 0.314 0.775 0.458
O2 O 0.225 0.686 0.042
O3 O 0.229 0.198 0.215
O4 O 0.802 0.771 0.285
O5 O 0.198 0.229 0.715
O6 O 0.686 0.225 0.542
O7 O 0.775 0.314 0.958
O8 O 0.771 0.802 0.785
Se1 Se 0.043 0.957 0.250
Se2 Se 0.957 0.043 0.750
```

Output
The total magnetization is 2.0 μB/cell. Its energy above the most stable polymorph in this dataset is 0.203 eV/atom.

---

This record from the Alexandria database describes VSe2O after structural relaxation. The functional is PBE+U.

```
data_VSe2O
_cell_length_a 8.461
_cell_length_b 8.461
_cell_length_c 8.461
_cell_angle_alpha 21.18
_cell_angle_beta 21.18
_cell_angle_gamma 21.18
_symmetry_space_group_name_H-M 'P 1'
_symmetry_Int_Tables_number 1
_symmetry_space_group_name_Hall 'P 1'
loop_
_atom_site_label
_atom_site_type_symbol
_atom_site_fract_x
_atom_site_fract_y
_atom_site_fract_z
Se1 Se 0.899 0.899 0.899
Se2 Se 0.101 0.101 0.101
O1 O 0.500 0.500 0.500
V1 V 0.000 0.000 0.000
```

Output
The total magnetization is 3.1 μB/cell. Its total energy is -15.84 eV for the cell shown.

---

This record from the Alexandria database describes V2SeO after structural relaxation. The functional is PBE+U.

```
data_V2SeO
_cell_length_a 5.250
_cell_length_b 5.250
_cell_length_c 6.512
_cell_angle_alpha 66.23
_cell_angle_beta 66.23
_cell_angle_gamma 90.00
_symmetry_space_group_name_H-M 'P 1'
_symmetry_Int_Tables_number 1
_symmetry_space_group_name_Hall 'P 1'
loop_
_atom_site_label
_atom_site_type_symbol
_atom_site_fract_x
_atom_site_fract_y
_atom_site_fract_z
V1 V 0.875 0.785 0.750
V2 V 0.215 0.625 0.250
V3 V 0.375 0.465 0.750
V4 V 0.535 0.125 0.250
Se1 Se 0.000 0.000 0.000
Se2 Se 0.750 0.250 0.500
O1 O 0.500 0.500 0.000
O2 O 0.250 0.750 0.500
```

Output
The total magnetization is 12.0 μB/cell. Its energy above the most stable polymorph in this dataset is 0.000 eV/atom.

---

This record from the Alexandria database describes VSeO6 after structural relaxation. The functional is PBE+U.

```
data_VSeO6
_cell_length_a 5.363
_cell_length_b 5.363
_cell_length_c 4.620
_cell_angle_alpha 96.09
_cell_angle_beta 96.09
_cell_angle_gamma 128.97
_symmetry_space_group_name_H-M 'P 1'
_symmetry_Int_Tables_number 1
_symmetry_space_group_name_Hall 'P 1'
loop_
_atom_site_label
_atom_site_type_symbol
_atom_site_fract_x
_atom_site_fract_y
_atom_site_fract_z
O1 O 0.142 0.395 0.265
O2 O 0.858 0.605 0.735
O3 O 0.605 0.858 0.735
O4 O 0.250 0.250 0.746
O5 O 0.395 0.142 0.265
O6 O 0.750 0.750 0.254
V1 V 0.000 0.000 0.000
Se1 Se 0.500 0.500 0.500
```

Output
The total magnetization is 0.9 μB/cell. Its total energy is -45.74 eV for the cell shown.

---

This record from the Alexandria database describes VSe2O after structural relaxation. The functional is PBE+U.

```
data_VSe2O
_cell_length_a 6.522
_cell_length_b 6.522
_cell_length_c 6.522
_cell_angle_alpha 36.34
_cell_angle_beta 36.34
_cell_angle_gamma 36.34
_symmetry_space_group_name_H-M 'P 1'
_symmetry_Int_Tables_number 1
_symmetry_space_group_name_Hall 'P 1'
loop_
_atom_site_label
_atom_site_type_symbol
_atom_site_fract_x
_atom_site_fract_y
_atom_site_fract_z
O1 O 0.000 0.000 0.000
V1 V 0.500 0.500 0.500
Se1 Se 0.101 0.101 0.101
Se2 Se 0.899 0.899 0.899
```

Output
The total magnetization is 2.8 μB/cell. Its total energy is -19.64 eV for the cell shown.

---

This record from the Alexandria database describes V2SeO after structural relaxation. The functional is PBE+U.

```
data_V2SeO
_cell_length_a 4.346
_cell_length_b 4.346
_cell_length_c 4.346
_cell_angle_alpha 60.00
_cell_angle_beta 60.00
_cell_angle_gamma 60.00
_symmetry_space_group_name_H-M 'P 1'
_symmetry_Int_Tables_number 1
_symmetry_space_group_name_Hall 'P 1'
loop_
_atom_site_label
_atom_site_type_symbol
_atom_site_fract_x
_atom_site_fract_y
_atom_site_fract_z
Se1 Se 0.500 0.500 0.500
V1 V 0.750 0.750 0.750
V2 V 0.250 0.250 0.250
O1 O 0.000 0.000 0.000
```

Output
The total magnetization is 6.0 μB/cell. Its energy above the most stable polymorph in this dataset is 0.700 eV/atom.

---

This record from the Alexandria database describes YVSe2O8 after structural relaxation. The functional is PBE+U.

```
data_YVSe2O8
_cell_length_a 5.502
_cell_length_b 5.502
_cell_length_c 10.833
_cell_angle_alpha 90.00
_cell_angle_beta 90.00
_cell_angle_gamma 96.16
_symmetry_space_group_name_H-M 'P 1'
_symmetry_Int_Tables_number 1
_symmetry_space_group_name_Hall 'P 1'
loop_
_atom_site_label
_atom_site_type_symbol
_atom_site_fract_x
_atom_site_fract_y
_atom_site_fract_z
Y1 Y 0.350 0.650 0.500
Y2 Y 0.850 0.150 0.500
O1 O 0.163 0.974 0.390
O2 O 0.032 0.468 0.377
O3 O 0.109 0.391 0.635
O4 O 0.370 0.751 0.824
O5 O 0.249 0.630 0.176
O6 O 0.049 0.951 0.000
O7 O 0.609 0.891 0.365
O8 O 0.870 0.251 0.176
O9 O 0.663 0.474 0.610
O10 O 0.560 0.940 0.033
O11 O 0.532 0.968 0.623
O12 O 0.026 0.837 0.610
O13 O 0.060 0.440 0.967
O14 O 0.549 0.451 0.000
O15 O 0.526 0.337 0.390
O16 O 0.749 0.130 0.824
Se1 Se 0.411 0.089 0.301
Se2 Se 0.450 0.050 0.771
Se3 Se 0.950 0.550 0.229
Se4 Se 0.911 0.589 0.699
V1 V 0.849 0.151 0.000
V2 V 0.349 0.651 0.000
```

Output
The total magnetization is 0.0 μB/cell. Its total energy is -161.69 eV for the cell shown.

---

This record from the Alexandria database describes WSe2O after structural relaxation. The functional is PBE+U.

```
data_WSe2O
_cell_length_a 5.142
_cell_length_b 5.142
_cell_length_c 7.506
_cell_angle_alpha 69.97
_cell_angle_beta 69.97
_cell_angle_gamma 90.00
_symmetry_space_group_name_H-M 'P 1'
_symmetry_Int_Tables_number 1
_symmetry_space_group_name_Hall 'P 1'
loop_
_atom_site_label
_atom_site_type_symbol
_atom_site_fract_x
_atom_site_fract_y
_atom_site_fract_z
W1 W 0.750 0.250 0.500
W2 W 0.000 0.000 0.000
O1 O 0.250 0.750 0.500
O2 O 0.500 0.500 0.000
Se1 Se 0.578 0.125 0.250
Se2 Se 0.172 0.625 0.250
Se3 Se 0.875 0.828 0.750
Se4 Se 0.375 0.422 0.750
```

Output
The total magnetization is 4.9 μB/cell. Its total energy is -33.96 eV for the cell shown.

---

This record from the Alexandria database describes WSeO6 after structural relaxation. The functional is PBE+U.

```
data_WSeO6
_cell_length_a 5.510
_cell_length_b 5.510
_cell_length_c 4.712
_cell_angle_alpha 96.01
_cell_angle_beta 96.01
_cell_angle_gamma 129.47
_symmetry_space_group_name_H-M 'P 1'
_symmetry_Int_Tables_number 1
_symmetry_space_group_name_Hall 'P 1'
loop_
_atom_site_label
_atom_site_type_symbol
_atom_site_fract_x
_atom_site_fract_y
_atom_site_fract_z
O1 O 0.249 0.249 0.740
O2 O 0.149 0.399 0.267
O3 O 0.751 0.751 0.260
O4 O 0.851 0.601 0.733
O5 O 0.601 0.851 0.733
O6 O 0.399 0.149 0.267
W1 W 0.000 0.000 0.000
Se1 Se 0.500 0.500 0.500
```

Output
The total magnetization is 0.0 μB/cell. Its total energy is -47.54 eV for the cell shown.

---

This record from the Alexandria database describes WSe2O after structural relaxation. The functional is PBE+U.

```
data_WSe2O
_cell_length_a 8.884
_cell_length_b 8.884
_cell_length_c 8.884
_cell_angle_alpha 18.90
_cell_angle_beta 18.90
_cell_angle_gamma 18.90
_symmetry_space_group_name_H-M 'P 1'
_symmetry_Int_Tables_number 1
_symmetry_space_group_name_Hall 'P 1'
loop_
_atom_site_label
_atom_site_type_symbol
_atom_site_fract_x
_atom_site_fract_y
_atom_site_fract_z
Se1 Se 0.601 0.601 0.601
Se2 Se 0.399 0.399 0.399
W1 W 0.500 0.500 0.500
O1 O 0.000 0.000 0.000
```

Output
The total magnetization is 0.0 μB/cell. Its total energy is -15.04 eV for the cell shown.

---

This record from the Alexandria database describes WSe2O8 after structural relaxation. The functional is PBE+U.

```
data_WSe2O8
_cell_length_a 5.018
_cell_length_b 6.563
_cell_length_c 6.563
_cell_angle_alpha 67.54
_cell_angle_beta 80.75
_cell_angle_gamma 80.75
_symmetry_space_group_name_H-M 'P 1'
_symmetry_Int_Tables_number 1
_symmetry_space_group_name_Hall 'P 1'
loop_
_atom_site_label
_atom_site_type_symbol
_atom_site_fract_x
_atom_site_fract_y
_atom_site_fract_z
Se1 Se 0.664 0.814 0.814
Se2 Se 0.336 0.186 0.186
O1 O 0.791 0.723 0.070
O2 O 0.687 0.147 0.147
O3 O 0.791 0.070 0.723
O4 O 0.313 0.853 0.853
O5 O 0.257 0.336 0.336
O6 O 0.209 0.277 0.930
O7 O 0.743 0.664 0.664
O8 O 0.209 0.930 0.277
W1 W 0.000 0.000 0.000
```

Output
The total magnetization is 0.0 μB/cell. Its total energy is -62.63 eV for the cell shown.